(1)
A plane-wave DFT calculation with PBE-GGA was carried out for CoSb2Se after structural relaxation.

Unit cell a=5.156 b=5.156 c=5.156 alpha=127.89 beta=127.89 gamma=76.80
Each line ends with the local moment (μB).
Fractional coordinates of all 4 atoms:
1 Co 0.750 0.250 0.500  1.25
2 Sb 0.000 0.000 0.000  -0.03
3 Sb 0.500 0.500 0.000  -0.03
4 Se 0.250 0.750 0.500  0.00

## Properties
Spin magnetization: 1.03 Bohr magnetons per cell
Formation energy without anion corrections: 0.487 eV/atom

(2)
A plane-wave DFT calculation with PBE-GGA was carried out for CoSbSe2 after structural relaxation.

Unit cell a=6.353 b=6.353 c=6.587 alpha=61.17 beta=61.17 gamma=90.00
Fractional coordinates of all 8 atoms:
1 Sb 0.000 0.000 0.000
2 Sb 0.750 0.250 0.500
3 Co 0.500 0.500 0.000
4 Co 0.250 0.750 0.500
5 Se 0.546 0.125 0.250
6 Se 0.204 0.625 0.250
7 Se 0.375 0.454 0.750
8 Se 0.875 0.796 0.750

## Properties
Spin magnetization: 0.00 Bohr magnetons per cell
Formation energy without anion corrections: 0.046 eV/atom

(3)
A plane-wave DFT calculation with PBE-GGA was carried out for CoSbSe4 after structural relaxation.

Unit cell a=5.707 b=5.707 c=5.707 alpha=60.00 beta=60.00 gamma=60.00
Each line ends with the local moment (μB).
Fractional coordinates of all 6 atoms:
1 Co 0.750 0.750 0.750  2.07
2 Sb 0.000 0.000 0.000  -0.07
3 Se 0.870 0.377 0.377  0.00
4 Se 0.377 0.377 0.870  0.00
5 Se 0.377 0.870 0.377  0.00
6 Se 0.377 0.377 0.377  0.00

## Properties
Spin magnetization: 1.96 Bohr magnetons per cell
Formation energy without anion corrections: 0.887 eV/atom

(4)
A plane-wave DFT calculation with PBE-GGA was carried out for CoSbSe2 after structural relaxation.

Unit cell a=3.692 b=5.147 c=5.149 alpha=56.45 beta=90.00 gamma=90.00
Fractional coordinates of all 4 atoms:
1 Co 0.000 0.501 0.500
2 Sb 0.500 0.694 0.694
3 Se 0.000 0.972 0.972
4 Se 0.500 0.334 0.334

## Properties
Spin magnetization: 0.00 Bohr magnetons per cell
Formation energy without anion corrections: -0.104 eV/atom

(5)
A plane-wave DFT calculation with PBE-GGA was carried out for CoSbSe2 after structural relaxation.

Unit cell a=6.365 b=6.365 c=6.365 alpha=148.32 beta=134.94 gamma=56.13
Each line ends with the local moment (μB).
Fractional coordinates of all 4 atoms:
1 Co 0.750 0.250 0.500  0.61
2 Sb 0.250 0.750 0.500  -0.01
3 Se 0.894 0.894 0.000  0.04
4 Se 0.606 0.606 0.000  0.04

## Properties
Spin magnetization: 0.71 Bohr magnetons per cell
Formation energy without anion corrections: -0.019 eV/atom

(6)
A plane-wave DFT calculation with PBE-GGA was carried out for CoSbSe2 after structural relaxation.

Unit cell a=4.778 b=4.778 c=4.778 alpha=60.00 beta=60.00 gamma=60.00
Each line ends with the local moment (μB).
Fractional coordinates of all 4 atoms:
1 Co 0.500 0.500 0.500  1.59
2 Sb 0.250 0.250 0.250  -0.06
3 Se 0.000 0.000 0.000  0.08
4 Se 0.750 0.750 0.750  0.05

## Properties
Spin magnetization: 1.59 Bohr magnetons per cell
Formation energy without anion corrections: 0.584 eV/atom

(7)
A plane-wave DFT calculation with PBE-GGA was carried out for CoSbSe2 after structural relaxation.

Unit cell a=3.225 b=4.385 c=5.787 alpha=90.00 beta=90.00 gamma=90.00
Each line ends with the local moment (μB).
Fractional coordinates of all 4 atoms:
1 Co 0.500 0.000 0.500  1.61
2 Sb 0.000 0.500 0.500  -0.01
3 Se 0.000 0.000 0.000  0.06
4 Se 0.500 0.500 0.000  0.00

## Properties
Spin magnetization: 1.68 Bohr magnetons per cell
Formation energy without anion corrections: 0.547 eV/atom

(8)
A plane-wave DFT calculation with PBE-GGA was carried out for Co3SbSe after structural relaxation.

Unit cell a=4.383 b=4.383 c=4.383 alpha=90.00 beta=90.00 gamma=90.00
Each line ends with the local moment (μB).
Fractional coordinates of all 5 atoms:
1 Sb 0.500 0.500 0.500  -0.06
2 Co 0.000 0.500 0.000  0.83
3 Co 0.000 0.000 0.500  0.48
4 Co 0.500 0.000 0.000  0.89
5 Se 0.000 0.000 0.000  0.01

## Properties
Distance to the lowest polymorph of the same formula: 0 meV/atom
Spin magnetization: 2.00 Bohr magnetons per cell
Formation energy without anion corrections: 0.569 eV/atom

(9)
A plane-wave DFT calculation with PBE-GGA was carried out for CoSbSe2 after structural relaxation.

Unit cell a=3.389 b=3.389 c=8.551 alpha=90.00 beta=90.00 gamma=119.07
Each line ends with the local moment (μB).
Fractional coordinates of all 4 atoms:
1 Co 0.500 0.500 0.250  1.22
2 Sb 0.500 0.500 0.750  -0.01
3 Se 0.000 0.000 0.064  0.06
4 Se 0.000 0.000 0.436  0.06

## Properties
Spin magnetization: 1.43 Bohr magnetons per cell
Formation energy without anion corrections: 0.249 eV/atom

(10)
A plane-wave DFT calculation with PBE-GGA was carried out for CoSbSe2 after structural relaxation.

Unit cell a=3.454 b=4.818 c=4.818 alpha=90.00 beta=90.00 gamma=90.00
Each line ends with the local moment (μB).
Fractional coordinates of all 4 atoms:
1 Co 0.500 0.500 0.000  1.91
2 Sb 0.500 0.000 0.500  -0.03
3 Se 0.000 0.000 0.000  0.06
4 Se 0.000 0.500 0.500  0.06

## Properties
Spin magnetization: 1.99 Bohr magnetons per cell
Formation energy without anion corrections: 0.451 eV/atom

(11)
A plane-wave DFT calculation with PBE-GGA was carried out for CoSbSe2 after structural relaxation.

Unit cell a=3.644 b=3.644 c=7.818 alpha=77.19 beta=77.19 gamma=59.99
Each line ends with the local moment (μB).
Fractional coordinates of all 4 atoms:
1 Co 0.497 0.497 0.517  0.39
2 Sb 0.236 0.236 0.288  0.00
3 Se 0.979 0.979 0.048  0.01
4 Se 0.789 0.789 0.647  0.03

## Properties
Spin magnetization: 0.48 Bohr magnetons per cell
Formation energy without anion corrections: -0.060 eV/atom

(12)
A plane-wave DFT calculation with PBE-GGA was carried out for CoSb2Se after structural relaxation.

Unit cell a=6.656 b=6.656 c=6.656 alpha=152.36 beta=140.90 gamma=48.55
Fractional coordinates of all 4 atoms:
1 Co 0.250 0.750 0.500
2 Sb 0.078 0.078 0.000
3 Sb 0.422 0.422 0.000
4 Se 0.750 0.250 0.500

## Properties
Spin magnetization: 0.00 Bohr magnetons per cell
Formation energy without anion corrections: 0.158 eV/atom

(13)
A plane-wave DFT calculation with PBE-GGA was carried out for CoSb2Se after structural relaxation.

Unit cell a=3.083 b=3.085 c=9.682 alpha=70.14 beta=90.00 gamma=90.00
Each line ends with the local moment (μB).
Fractional coordinates of all 4 atoms:
1 Co 0.500 0.750 0.750  0.66
2 Sb 0.000 0.055 0.930  0.00
3 Sb 0.000 0.445 0.570  0.00
4 Se 0.500 0.250 0.250  0.03

## Properties
Spin magnetization: 0.70 Bohr magnetons per cell
Formation energy without anion corrections: 0.156 eV/atom

(14)
A plane-wave DFT calculation with PBE-GGA was carried out for CoSb2Se after structural relaxation.

Unit cell a=4.949 b=4.949 c=4.949 alpha=120.13 beta=120.13 gamma=89.78
Each line ends with the local moment (μB).
Fractional coordinates of all 4 atoms:
1 Co 0.750 0.250 0.500  1.76
2 Sb 0.000 0.000 0.000  -0.01
3 Sb 0.250 0.750 0.500  0.01
4 Se 0.500 0.500 0.000  0.04

## Properties
Spin magnetization: 1.69 Bohr magnetons per cell
Formation energy without anion corrections: 0.521 eV/atom

(15)
A plane-wave DFT calculation with PBE-GGA was carried out for CoSb2Se after structural relaxation.

Unit cell a=8.497 b=8.497 c=8.497 alpha=23.93 beta=23.93 gamma=23.93
Fractional coordinates of all 4 atoms:
1 Co 0.755 0.755 0.755
2 Sb 0.022 0.022 0.022
3 Sb 0.255 0.255 0.255
4 Se 0.468 0.468 0.468

## Properties
Spin magnetization: 0.00 Bohr magnetons per cell
Formation energy without anion corrections: -0.009 eV/atom

(16)
A plane-wave DFT calculation with PBE-GGA was carried out for Co4SbSe after structural relaxation.

Unit cell a=4.960 b=4.960 c=4.960 alpha=60.00 beta=60.00 gamma=60.00
Each line ends with the local moment (μB).
Fractional coordinates of all 6 atoms:
1 Co 0.875 0.375 0.375  1.70
2 Co 0.375 0.375 0.875  1.70
3 Co 0.375 0.875 0.375  1.70
4 Co 0.375 0.375 0.375  1.70
5 Sb 0.750 0.750 0.750  0.03
6 Se 0.000 0.000 0.000  0.19

## Properties
Spin magnetization: 7.03 Bohr magnetons per cell
Formation energy without anion corrections: 0.392 eV/atom

(17)
A plane-wave DFT calculation with PBE-GGA was carried out for CoSbSe2 after structural relaxation.

Unit cell a=4.789 b=4.782 c=4.793 alpha=72.00 beta=67.44 gamma=107.96
Each line ends with the local moment (μB).
Fractional coordinates of all 4 atoms:
1 Co 0.000 0.500 0.500  1.68
2 Sb 0.500 0.500 0.000  -0.01
3 Se 0.000 0.000 0.000  0.01
4 Se 0.500 0.000 0.500  0.01

## Properties
Spin magnetization: 1.74 Bohr magnetons per cell
Formation energy without anion corrections: 0.198 eV/atom

(18)
A plane-wave DFT calculation with PBE-GGA was carried out for CoSb2Se after structural relaxation.

Unit cell a=3.717 b=3.717 c=7.368 alpha=75.20 beta=75.20 gamma=59.85
Fractional coordinates of all 4 atoms:
1 Co 0.250 0.250 0.250
2 Sb 0.985 0.985 0.047
3 Sb 0.515 0.515 0.453
4 Se 0.750 0.750 0.750

## Properties
Spin magnetization: 0.00 Bohr magnetons per cell
Formation energy without anion corrections: 0.033 eV/atom

(19)
A plane-wave DFT calculation with PBE-GGA was carried out for CoSb2Se after structural relaxation.

Unit cell a=3.406 b=5.403 c=4.692 alpha=90.00 beta=90.00 gamma=90.00
Each line ends with the local moment (μB).
Fractional coordinates of all 4 atoms:
1 Co 0.000 0.500 0.500  1.63
2 Sb 0.000 0.000 0.000  -0.01
3 Sb 0.500 0.500 0.000  -0.03
4 Se 0.500 0.000 0.500  0.04

## Properties
Spin magnetization: 1.55 Bohr magnetons per cell
Formation energy without anion corrections: 0.518 eV/atom

(20)
A plane-wave DFT calculation with PBE-GGA was carried out for CoSbSe2 after structural relaxation.

Unit cell a=8.429 b=8.429 c=8.429 alpha=24.18 beta=24.18 gamma=24.18
Fractional coordinates of all 4 atoms:
1 Sb 0.500 0.500 0.500
2 Co 0.000 0.000 0.000
3 Se 0.383 0.383 0.383
4 Se 0.617 0.617 0.617

## Properties
Spin magnetization: 0.00 Bohr magnetons per cell
Formation energy without anion corrections: -0.178 eV/atom

(21)
A plane-wave DFT calculation with PBE-GGA was carried out for TlCoSb2Se after structural relaxation.

Unit cell a=5.395 b=5.805 c=5.395 alpha=90.00 beta=90.00 gamma=90.00
Each line ends with the local moment (μB).
Fractional coordinates of all 5 atoms:
1 Sb 0.000 0.000 0.500  -0.03
2 Sb 0.500 0.000 0.000  -0.01
3 Tl 0.000 0.500 0.000  0.00
4 Co 0.500 0.500 0.500  2.20
5 Se 0.000 0.000 0.000  -0.03

## Properties
Spin magnetization: 2.09 Bohr magnetons per cell
Formation energy without anion corrections: 1.070 eV/atom

(22)
A plane-wave DFT calculation with PBE-GGA was carried out for Co2SiSb after structural relaxation.

Unit cell a=7.625 b=7.625 c=7.625 alpha=23.66 beta=23.66 gamma=23.66
Each line ends with the local moment (μB).
Fractional coordinates of all 4 atoms:
1 Co 0.004 0.004 0.004  1.09
2 Co 0.256 0.256 0.256  1.37
3 Sb 0.507 0.507 0.507  0.00
4 Si 0.733 0.733 0.733  -0.01

## Properties
Distance to the lowest polymorph of the same formula: 471 meV/atom
Spin magnetization: 2.40 Bohr magnetons per cell
Formation energy without anion corrections: 0.365 eV/atom

(23)
A plane-wave DFT calculation with PBE-GGA was carried out for Co2Si2Sb after structural relaxation.

Unit cell a=7.094 b=7.094 c=2.738 alpha=90.00 beta=90.00 gamma=90.00
Fractional coordinates of all 10 atoms:
1 Sb 0.000 0.000 0.000
2 Sb 0.500 0.500 0.000
3 Si 0.139 0.639 0.500
4 Si 0.639 0.861 0.500
5 Si 0.861 0.361 0.500
6 Si 0.361 0.139 0.500
7 Co 0.357 0.857 0.000
8 Co 0.857 0.643 0.000
9 Co 0.643 0.143 0.000
10 Co 0.143 0.357 0.000

## Properties
Distance to the lowest polymorph of the same formula: 167 meV/atom
Spin magnetization: 0.00 Bohr magnetons per cell
Formation energy without anion corrections: -0.060 eV/atom

(24)
A plane-wave DFT calculation with PBE-GGA was carried out for Co2SiSb2 after structural relaxation.

Unit cell a=8.047 b=8.047 c=8.047 alpha=155.18 beta=155.18 gamma=35.39
Each line ends with the local moment (μB).
Fractional coordinates of all 5 atoms:
1 Co 0.250 0.750 0.500  1.17
2 Co 0.750 0.250 0.500  1.17
3 Si 0.000 0.000 0.000  0.00
4 Sb 0.621 0.621 0.000  -0.03
5 Sb 0.379 0.379 0.000  -0.03

## Properties
Distance to the lowest polymorph of the same formula: 0 meV/atom
Spin magnetization: 2.23 Bohr magnetons per cell
Formation energy without anion corrections: 0.378 eV/atom

(25)
A plane-wave DFT calculation with PBE-GGA was carried out for CoSiSb2 after structural relaxation.

Unit cell a=4.865 b=4.865 c=3.273 alpha=90.00 beta=90.00 gamma=99.53
Each line ends with the local moment (μB).
Fractional coordinates of all 4 atoms:
1 Co 0.000 0.500 0.500  0.83
2 Sb 0.000 0.000 0.000  -0.01
3 Sb 0.500 0.500 0.000  -0.01
4 Si 0.500 0.000 0.500  0.00

## Properties
Spin magnetization: 0.73 Bohr magnetons per cell
Formation energy without anion corrections: 0.537 eV/atom

(26)
A plane-wave DFT calculation with PBE-GGA was carried out for CoSiSb2 after structural relaxation.

Unit cell a=4.838 b=4.906 c=3.223 alpha=90.00 beta=90.00 gamma=90.00
Each line ends with the local moment (μB).
Fractional coordinates of all 4 atoms:
1 Co 0.000 0.500 0.500  1.03
2 Sb 0.000 0.000 0.000  0.00
3 Sb 0.500 0.500 0.000  0.00
4 Si 0.500 0.000 0.500  0.00

## Properties
Spin magnetization: 0.99 Bohr magnetons per cell
Formation energy without anion corrections: 0.551 eV/atom

(27)
A plane-wave DFT calculation with PBE-GGA was carried out for CoSiSb2 after structural relaxation.

Unit cell a=3.759 b=3.759 c=6.832 alpha=74.15 beta=74.15 gamma=60.11
Fractional coordinates of all 4 atoms:
1 Co 0.250 0.250 0.250
2 Sb 0.989 0.989 0.031
3 Sb 0.511 0.511 0.469
4 Si 0.750 0.750 0.750

## Properties
Spin magnetization: 0.00 Bohr magnetons per cell
Formation energy without anion corrections: 0.260 eV/atom

(28)
A plane-wave DFT calculation with PBE-GGA was carried out for CoSiSb3 after structural relaxation.

Unit cell a=5.093 b=5.093 c=5.093 alpha=90.00 beta=90.00 gamma=90.00
Fractional coordinates of all 5 atoms:
1 Sb 0.000 0.500 0.000
2 Sb 0.000 0.000 0.500
3 Sb 0.500 0.000 0.000
4 Si 0.000 0.000 0.000
5 Co 0.500 0.500 0.500

## Properties
Distance to the lowest polymorph of the same formula: 624 meV/atom
Spin magnetization: 0.00 Bohr magnetons per cell
Formation energy without anion corrections: 1.212 eV/atom

(29)
A plane-wave DFT calculation with PBE-GGA was carried out for CoSiSb2 after structural relaxation.

Unit cell a=5.798 b=5.798 c=5.798 alpha=140.08 beta=140.08 gamma=57.74
Each line ends with the local moment (μB).
Fractional coordinates of all 4 atoms:
1 Co 0.750 0.250 0.500  1.16
2 Sb 0.000 0.000 0.000  0.01
3 Sb 0.250 0.750 0.500  -0.01
4 Si 0.500 0.500 0.000  0.00

## Properties
Spin magnetization: 1.13 Bohr magnetons per cell
Formation energy without anion corrections: 0.607 eV/atom